A plane-wave DFT calculation with PBE was carried out for a geometry-optimized RbLaV2 structure.

Cell and atoms, written as POSCAR:
```
RbLaV2
1.0
-3.8087 -1.5824 -2.8566
-1.4302 -3.1370 3.6446
-8.8029 5.1833 4.4601
Rb V La
2 4 2
direct
0.5000 0.5000 0.0000
0.2500 0.7500 0.5000
0.3750 0.2255 0.7500
0.9755 0.6250 0.2500
0.7745 0.1250 0.2500
0.8750 0.0245 0.7500
0.7500 0.2500 0.5000
0.0000 0.0000 0.0000
```

Properties
Raw total energy (eV per cell): -36.20
Formation enthalpy at 0 K (meV per atom): 1509
Energy above the lowest structure with this stoichiometry (meV/atom): 143.9
Fermi-level density of states (states/eV/cell): 12.584